An optimized crystal structure of Cs4InAu3. Source: Alexandria, functional PBE.

As for the crystal system: orthorhombic. For the energy of formation from the pure elements, the calculation gives -0.25 eV per atom.

The structure belongs to space group Pmm2 (No. 25); the cell edges are 5.086, 5.205 and 13.561 Å and the angles 90.00°, 90.00° and 90.00°. The inequivalent atoms are Cs at (0.000, 0.000, 0.000), Cs at (0.000, 0.500, 0.465), Cs at (0.500, 0.000, 0.681), Cs at (0.500, 0.500, 0.204), In at (0.000, 0.500, 0.793), Au at (0.000, 0.000, 0.274), Au at (0.500, 0.000, 0.395) and Au at (0.500, 0.500, 0.881).

An optimized crystal structure of CsIn12Au7. Source: Alexandria, functional PBE.

As for the crystal system: trigonal. For the energy of formation from the pure elements, the calculation gives -0.14 eV per atom.

The structure belongs to space group R-3m (No. 166, hexagonal axes); the cell edges are 14.4382, 14.4382 and 8.2920 Å and the angles 90.00°, 90.00° and 120.00°. The inequivalent atoms are Cs at (0.0000, 0.0000, 0.0000), In at (0.0000, 0.2590, 0.0000), In at (0.1079, 0.2158, 0.3622), Au at (0.0000, 0.0000, 0.5000) and Au at (0.1019, 0.5510, 0.3830).

An optimized crystal structure of CsIn3Au. Source: Alexandria, functional PBE.

Its offset from the most stable computed form is 0.00 eV/f.u. As for the crystal system: monoclinic. For the energy of formation from the pure elements, the calculation gives -0.17 eV per atom.

The structure belongs to space group Cm (No. 8); the cell edges are 7.189, 7.162 and 7.054 Å and the angles 90.00°, 120.53° and 90.00°. The inequivalent atoms are Cs at (0.000, 0.000, 0.000), In at (0.391, 0.000, 0.782), In at (0.494, 0.250, 0.487) and Au at (0.129, 0.500, 0.258).

An optimized crystal structure of CsInAu4. Source: Alexandria, functional PBE.

Its offset from the most stable computed form is 0.22 eV/f.u. As for the crystal system: monoclinic. For the energy of formation from the pure elements, the calculation gives -0.12 eV per atom.

The structure belongs to space group C2/m (No. 12); the cell edges are 10.731, 7.246 and 8.380 Å and the angles 90.00°, 106.95° and 90.00°. The inequivalent atoms are Cs at (0.198, 0.000, 0.295), In at (0.066, 0.500, 0.290), Au at (0.000, 0.213, 0.500), Au at (0.119, 0.298, 0.961) and Au at (0.180, 0.000, 0.764).

An optimized crystal structure of CsIn5Au4. Source: Alexandria, functional PBE.

As for the crystal system: orthorhombic. For the energy of formation from the pure elements, the calculation gives -0.16 eV per atom.

The structure belongs to space group Pmmn (No. 59, origin choice 2); the cell edges are 7.575, 9.886 and 7.223 Å and the angles 90.00°, 90.00° and 90.00°. The inequivalent atoms are Cs at (0.250, 0.250, 0.001), In at (0.024, 0.512, 0.287), In at (0.250, 0.750, 0.662), Au at (0.071, 0.250, 0.507) and Au at (0.250, 0.595, 0.990).

An optimized crystal structure of CsIn4Au3. Source: Alexandria, functional PBE.

As for the crystal system: tetragonal. For the energy of formation from the pure elements, the calculation gives -0.23 eV per atom.

The structure belongs to space group P4/mmm (No. 123); the cell edges are 4.908, 4.908 and 9.203 Å and the angles 90.00°, 90.00° and 90.00°. The inequivalent atoms are Cs at (0.000, 0.000, 0.000), In at (0.000, 0.500, 0.326), Au at (0.000, 0.000, 0.500) and Au at (0.500, 0.500, 0.163).

An optimized crystal structure of Cs2InAu. Source: Alexandria, functional PBE.

Its offset from the most stable computed form is 0.00 eV/f.u. As for the crystal system: orthorhombic. For the energy of formation from the pure elements, the calculation gives -0.17 eV per atom.

The structure belongs to space group Imm2 (No. 44); the cell edges are 4.807, 11.093 and 7.476 Å and the angles 90.00°, 90.00° and 90.00°. The inequivalent atoms are Cs at (0.000, 0.189, 0.000), In at (0.000, 0.000, 0.509) and Au at (0.000, 0.500, 0.191).

An optimized crystal structure of CsIn6Au3. Source: Alexandria, functional PBE.

As for the crystal system: monoclinic. For the energy of formation from the pure elements, the calculation gives -0.14 eV per atom.

The structure belongs to space group P2_1/c (No. 14); the cell edges are 11.004, 6.927 and 8.313 Å and the angles 90.00°, 112.17° and 90.00°. The inequivalent atoms are Cs at (0.000, 0.000, 0.000), In at (0.155, 0.012, 0.533), In at (0.301, 0.708, 0.411), In at (0.437, 0.222, 0.204), Au at (0.249, 0.195, 0.864) and Au at (0.500, 0.000, 0.500).

An optimized crystal structure of Cs2InAu. Source: Alexandria, functional PBE.

Its offset from the most stable computed form is 1.13 eV/f.u. As for the crystal system: trigonal. For the energy of formation from the pure elements, the calculation gives 0.11 eV per atom.

The structure belongs to space group R-3m (No. 166, hexagonal axes); the cell edges are 4.4791, 4.4791 and 37.4630 Å and the angles 90.00°, 90.00° and 120.00°. The inequivalent atoms are Cs at (0.0000, 0.0000, 0.1033), In at (0.0000, 0.0000, 0.0000) and Au at (0.0000, 0.0000, 0.5000).

An optimized crystal structure of Cs2In5Au4. Source: Alexandria, functional PBE.

Its offset from the most stable computed form is 0.25 eV/f.u. As for the crystal system: monoclinic. For the energy of formation from the pure elements, the calculation gives -0.22 eV per atom.

The structure belongs to space group C2/m (No. 12); the cell edges are 11.873, 8.009 and 9.082 Å and the angles 90.00°, 123.87° and 90.00°. The inequivalent atoms are Cs at (0.079, 0.000, 0.351), In at (0.000, 0.500, 0.500), In at (0.157, 0.299, 0.080), Au at (0.074, 0.500, 0.257) and Au at (0.210, 0.500, 0.858).

An optimized crystal structure of Cs2In5Au4. Source: Alexandria, functional PBE.

Its offset from the most stable computed form is 0.00 eV/f.u. As for the crystal system: monoclinic. For the energy of formation from the pure elements, the calculation gives -0.24 eV per atom.

The structure belongs to space group Cm (No. 8); the cell edges are 6.944, 13.428 and 8.140 Å and the angles 90.00°, 115.08° and 90.00°. The inequivalent atoms are Cs at (0.000, 0.000, 0.000), Cs at (0.195, 0.500, 0.393), In at (0.098, 0.250, 0.697), In at (0.346, 0.000, 0.695), In at (0.348, 0.252, 0.195), Au at (0.220, 0.153, 0.438) and Au at (0.476, 0.152, 0.954).

An optimized crystal structure of Cs3In7Au4. Source: Alexandria, functional PBE.

As for the crystal system: monoclinic. For the energy of formation from the pure elements, the calculation gives -0.18 eV per atom.

The structure belongs to space group C2/m (No. 12); the cell edges are 18.777, 4.892 and 12.832 Å and the angles 90.00°, 129.44° and 90.00°. The inequivalent atoms are Cs at (0.000, 0.000, 0.000), Cs at (0.227, 0.500, 0.720), In at (0.000, 0.000, 0.500), In at (0.009, 0.500, 0.686), In at (0.140, 0.000, 0.439), In at (0.180, 0.500, 0.986), Au at (0.120, 0.000, 0.827) and Au at (0.159, 0.500, 0.356).